This record from Alexandria describes a relaxed structure of Hf7PS12. The functional is PBE.

Unit cell a=8.1766 b=8.1766 c=8.1766 alpha=107.61 beta=107.61 gamma=107.61
Last column: nearest neighbours and their distance in Å.
Sites, in units of the cell vectors:
Hf (0.0000, 0.0000, 0.0000)  6 S 2.54
Hf (0.1424, 0.4614, 0.3785)  5 S 2.48-2.58, 1 P 2.67
Hf (0.3785, 0.1424, 0.4614)  5 S 2.48-2.58, 1 P 2.67
Hf (0.4614, 0.3785, 0.1424)  5 S 2.48-2.58, 1 P 2.67
Hf (0.5386, 0.6215, 0.8576)  5 S 2.48-2.58, 1 P 2.67
Hf (0.6215, 0.8576, 0.5386)  5 S 2.48-2.58, 1 P 2.67
Hf (0.8576, 0.5386, 0.6215)  5 S 2.48-2.58, 1 P 2.67
P (0.5000, 0.5000, 0.5000)  6 Hf 2.67
S (0.0443, 0.1212, 0.3432)  3 Hf 2.54-2.55
S (0.1212, 0.3432, 0.0443)  3 Hf 2.54-2.55
S (0.1904, 0.5763, 0.7226)  3 Hf 2.48-2.58
S (0.2774, 0.8096, 0.4237)  3 Hf 2.48-2.58
S (0.3432, 0.0442, 0.1212)  3 Hf 2.54-2.55
S (0.4237, 0.2774, 0.8096)  3 Hf 2.48-2.58
S (0.5763, 0.7226, 0.1904)  3 Hf 2.48-2.58
S (0.6568, 0.9557, 0.8788)  3 Hf 2.54-2.55
S (0.7226, 0.1904, 0.5763)  3 Hf 2.48-2.58
S (0.8096, 0.4237, 0.2774)  3 Hf 2.48-2.58
S (0.8788, 0.6568, 0.9557)  3 Hf 2.54-2.55
S (0.9557, 0.8788, 0.6568)  3 Hf 2.54-2.55

Values from the calculation:
N(E_F): 0.218 states/eV/atom
Energy relative to the elements, uncorrected: -29.44 eV/f.u.

=====

This record from Alexandria describes a relaxed structure of La2Nd4Y2Mg. The functional is PBE.

Unit cell a=6.5380 b=6.5383 c=7.7708 alpha=81.31 beta=82.05 gamma=71.25
Last column: nearest neighbours and their distance in Å.
Sites, in units of the cell vectors:
La (0.2453, 0.3123, 0.2803)  1 Mg 3.14, 3 Nd 3.28-3.43, 1 Y 3.50
La (0.7547, 0.6877, 0.7197)  1 Mg 3.14, 3 Nd 3.28-3.43, 1 Y 3.50
Nd (0.1928, 0.2659, 0.7181)  1 Mg 3.11, 2 La 3.28-3.35, 1 Nd 3.42, 1 Y 3.47
Nd (0.2768, 0.7827, 0.4287)  2 Nd 3.42-3.54, 2 La 3.43-3.52, 1 Mg 3.72
Nd (0.7232, 0.2173, 0.5713)  2 Nd 3.42-3.54, 2 La 3.43-3.52, 1 Mg 3.72
Nd (0.8072, 0.7341, 0.2819)  1 Mg 3.11, 2 La 3.28-3.35, 1 Nd 3.42, 1 Y 3.47
Y (0.1989, 0.7261, 0.9309)  1 Mg 3.20, 1 Nd 3.47, 1 La 3.50
Y (0.8011, 0.2739, 0.0691)  1 Mg 3.20, 1 Nd 3.47, 1 La 3.50
Mg (0.5000, 0.0000, 0.0000)  2 Nd 3.11, 2 La 3.14, 2 Y 3.20

Values from the calculation:
ΔH_f (0 K): 0.1471 eV per atom
N(E_F): 1.343 states/eV/atom

=====

This record from Alexandria describes a relaxed structure of Rb2CoPCl6. The functional is PBE.

Unit cell a=6.8631 b=6.8631 c=6.8631 alpha=116.04 beta=116.04 gamma=97.02
Last column: nearest neighbours and their distance in Å.
Sites, in units of the cell vectors:
Rb (0.2500, 0.7500, 0.5000)  12 Cl 3.43-3.64
Rb (0.7500, 0.2500, 0.5000)  12 Cl 3.43-3.64
Co (0.0000, 0.0000, 0.0000)  2 Cl 2.26
P (0.5000, 0.5000, 0.0000)  2 Cl 2.29
Cl (0.2483, 0.2483, 0.0000)  1 Co 2.26, 1 P 2.29
Cl (0.2484, 0.2484, 0.4969)  1 Co 2.55, 1 P 2.59
Cl (0.2484, 0.7516, 0.0000)  1 Co 2.55, 1 P 2.59
Cl (0.7516, 0.2484, 0.0000)  1 Co 2.55, 1 P 2.59
Cl (0.7517, 0.7517, 0.0000)  1 Co 2.26, 1 P 2.29
Cl (0.7516, 0.7516, 0.5031)  1 Co 2.55, 1 P 2.59

Values from the calculation:
N(E_F): 0.084 states/eV/atom
Energy relative to the elements, uncorrected: -9.26 eV/f.u.

=====

This record from Alexandria describes a relaxed structure of LiNpHgI6. The functional is PBE.

Unit cell a=7.4988 b=7.4988 c=8.9573 alpha=90.00 beta=90.00 gamma=120.00
Last column: nearest neighbours and their distance in Å.
Sites, in units of the cell vectors:
Li (0.0000, 0.0000, 0.0000)  6 I 3.02
Np (0.6667, 0.3333, 0.0000)  6 I 2.94
Hg (0.3333, 0.6667, 0.5000)  6 I 3.81
I (0.3411, 0.0203, 0.1908)  1 Np 2.94, 1 Li 3.02
I (0.3411, 0.3208, 0.8092)  1 Np 2.94, 1 Li 3.02
I (0.6792, 0.0203, 0.8092)  1 Np 2.94, 1 Li 3.02
I (0.6792, 0.6589, 0.1908)  1 Np 2.94, 1 Li 3.02
I (0.9797, 0.3208, 0.1908)  1 Np 2.94, 1 Li 3.02
I (0.9797, 0.6589, 0.8092)  1 Np 2.94, 1 Li 3.02

Values from the calculation:
N(E_F): 0.915 states/eV/atom
Energy relative to the elements, uncorrected: -6.05 eV/f.u.

=====

This record from Alexandria describes a relaxed structure of SbBr2O. The functional is PBE.

Unit cell a=9.0625 b=9.0625 c=9.0625 alpha=23.03 beta=23.03 gamma=23.03
Last column: nearest neighbours and their distance in Å.
Sites, in units of the cell vectors:
Sb (0.0000, 0.0000, 0.0000)  2 Br 2.70
Br (0.1022, 0.1022, 0.1022)  3 O 2.70, 1 Sb 2.70
Br (0.8978, 0.8978, 0.8978)  3 O 2.70, 1 Sb 2.70
O (0.5000, 0.5000, 0.5000)  6 Br 2.70

Values from the calculation:
N(E_F): 0.553 states/eV/atom
Offset from the most stable computed form: 1072.7 meV per atom
Energy relative to the elements, uncorrected: 2.21 eV/f.u.

=====

This record from Alexandria describes a relaxed structure of AlTcOs2. The functional is PBE.

Unit cell a=2.8926 b=2.8926 c=6.7367 alpha=90.00 beta=90.00 gamma=90.00
Last column: nearest neighbours and their distance in Å.
Sites, in units of the cell vectors:
Al (0.0000, 0.0000, 0.0000)  8 Os 2.60, 4 Al 2.89
Tc (0.0000, 0.0000, 0.5000)  8 Os 2.70, 4 Tc 2.89
Os (0.5000, 0.5000, 0.2393)  4 Al 2.60, 4 Tc 2.70, 4 Os 2.89
Os (0.5000, 0.5000, 0.7607)  4 Al 2.60, 4 Tc 2.70, 4 Os 2.89

Values from the calculation:
ΔH_f (0 K): -0.1578 eV per atom
N(E_F): 0.914 states/eV/atom

=====

This record from Alexandria describes a relaxed structure of TlTe2Au. The functional is PBE.

Unit cell a=7.7261 b=7.7261 c=7.7261 alpha=31.97 beta=31.97 gamma=31.97
Last column: nearest neighbours and their distance in Å.
Sites, in units of the cell vectors:
Tl (0.0000, 0.0000, 0.0000)  6 Te 3.26
Te (0.2361, 0.2361, 0.2361)  3 Au 2.89
Te (0.7639, 0.7639, 0.7639)  3 Au 2.89
Au (0.5000, 0.5000, 0.5000)  6 Te 2.89

Values from the calculation:
N(E_F): 0.423 states/eV/atom
Energy relative to the elements, uncorrected: -0.42 eV/f.u.

=====

This record from Alexandria describes a relaxed structure of MnFeP2. The functional is PBE.

Unit cell a=4.2746 b=4.2746 c=5.0340 alpha=125.97 beta=125.97 gamma=40.16
Last column: nearest neighbours and their distance in Å.
Sites, in units of the cell vectors:
Mn (0.0000, 0.0000, 0.0000)  6 P 2.27-2.35
Fe (0.4565, 0.4565, 0.4582)  6 P 2.27-2.38
P (0.2318, 0.2318, 0.8799)  3 Fe 2.27-2.38, 3 Mn 2.29-2.35
P (0.7283, 0.7283, 0.4231)  3 Fe 2.27-2.30, 3 Mn 2.27-2.30

Values from the calculation:
ΔH_f (0 K): -0.3179 eV per atom
N(E_F): 0.656 states/eV/atom
Offset from the most stable computed form: 272.6 meV per atom

=====

This record from Alexandria describes a relaxed structure of MnCrCo3. The functional is PBE.

Unit cell a=6.3891 b=6.3891 c=4.5095 alpha=90.00 beta=90.00 gamma=137.59
Last column: nearest neighbours and their distance in Å.
Sites, in units of the cell vectors:
Mn (0.0707, 0.9293, 0.7500)  2 Cr 2.65, 10 Co 2.69-2.86, 2 Mn 2.81
Mn (0.9293, 0.0707, 0.2500)  2 Cr 2.65, 10 Co 2.69-2.86, 2 Mn 2.81
Cr (0.3201, 0.6799, 0.2500)  8 Co 2.33-2.57
Cr (0.6799, 0.3201, 0.7500)  8 Co 2.33-2.57
Co (0.0965, 0.3951, 0.7500)  4 Co 2.27-2.41, 1 Cr 2.33
Co (0.3951, 0.0965, 0.2500)  4 Co 2.27-2.41, 1 Cr 2.33
Co (0.5000, 0.5000, 0.0000)  6 Co 2.25-2.41, 2 Cr 2.42
Co (0.5000, 0.5000, 0.5000)  6 Co 2.25-2.41, 2 Cr 2.42
Co (0.6049, 0.9035, 0.7500)  4 Co 2.27-2.41, 1 Cr 2.33
Co (0.9035, 0.6049, 0.2500)  4 Co 2.27-2.41, 1 Cr 2.33

Values from the calculation:
ΔH_f (0 K): 0.2993 eV per atom
N(E_F): 1.194 states/eV/atom
Offset from the most stable computed form: 0.0 meV per atom

=====

This record from Alexandria describes a relaxed structure of RbMnH3. The functional is PBE.

Unit cell a=4.6686 b=4.6686 c=4.6686 alpha=90.00 beta=90.00 gamma=90.00
Last column: nearest neighbours and their distance in Å.
Sites, in units of the cell vectors:
Rb (0.0000, 0.0000, 0.0000)  6 H 2.33
Mn (0.5000, 0.5000, 0.5000)  12 H 3.30
H (0.0000, 0.0000, 0.5000)  2 Rb 2.33
H (0.0000, 0.5000, 0.0000)  2 Rb 2.33
H (0.5000, 0.0000, 0.0000)  2 Rb 2.33

Values from the calculation:
N(E_F): 0.137 states/eV/atom
Offset from the most stable computed form: 1252.5 meV per atom

=====

no.,raw total energy (eV per atom)
1,-7.7024
2,-4.6805
3,-3.4788
4,-3.3897
5,-2.5544
6,-9.2998
7,-3.0870
8,-7.4309
9,-7.7228
10,-2.6983